(1)
Material: MgPaIr
Method: DFT, PBE
State: relaxed

- energy above the most stable polymorph in this dataset (eV/f.u.) = 2.38

Unit cell a=4.6863 b=4.6863 c=4.6863 alpha=60.00 beta=60.00 gamma=60.00
Fractional positions:
Mg  0.0000  0.0000  0.0000
Pa  0.7500  0.7500  0.7500
Ir  0.5000  0.5000  0.5000

---

(2)
Material: MgPa2Ir2
Method: DFT, PBE
State: relaxed

- energy (eV/cell) = -83.81

Unit cell a=7.6412 b=7.6412 c=3.6512 alpha=90.00 beta=90.00 gamma=90.00
Fractional positions:
Mg  0.0000  0.0000  0.0000
Mg  0.5000  0.5000  0.0000
Pa  0.1668  0.3332  0.5000
Pa  0.3332  0.8332  0.5000
Pa  0.6668  0.1668  0.5000
Pa  0.8332  0.6668  0.5000
Ir  0.1386  0.6386  0.0000
Ir  0.3614  0.1386  0.0000
Ir  0.6386  0.8614  0.0000
Ir  0.8614  0.3614  0.0000